(1)
{"formula": "PaCo2TcGe2", "functional": "PBE-GGA", "state": "relaxed", "delta_e_f_kcal_per_mol_atoms": -9.0, "magmom_total_mub_per_cell": 0.00, "spacegroup": "P-3m1", "n_ef_per_ev_cell": 6.24, "lattice": [[4.142, 0.000, 0.000], [-2.071, 3.587, 0.000], [0.000, 0.000, 6.212]], "species": ["Pa", "Co", "Co", "Tc", "Ge", "Ge"], "frac_coords": [[0.000, 0.000, 0.000], [0.333, 0.667, 0.717], [0.667, 0.333, 0.283], [0.000, 0.000, 0.500], [0.333, 0.667, 0.310], [0.667, 0.333, 0.690]]}

***

(2)
{"formula": "PaCoTcGe", "functional": "PBE-GGA", "state": "relaxed", "delta_e_f_kcal_per_mol_atoms": 0.4, "e_above_lowest_polymorph_mev_per_atom": 205, "magmom_total_mub_per_cell": 0.81, "spacegroup": "Pmmm", "n_ef_per_ev_cell": 3.34, "lattice": [[3.473, 0.000, 0.000], [0.000, 4.475, 0.000], [0.000, 0.000, 4.823]], "species": ["Pa", "Co", "Tc", "Ge"], "frac_coords": [[0.000, 0.000, 0.000], [0.500, 0.000, 0.500], [0.500, 0.500, 0.000], [0.500, 0.500, 0.500]]}

***

(3)
{"formula": "Pa2Co4TcGe3", "functional": "PBE-GGA", "state": "relaxed", "delta_e_f_kcal_per_mol_atoms": -10.6, "magmom_total_mub_per_cell": 0.86, "spacegroup": "P-4m2", "n_ef_per_ev_cell": 4.52, "lattice": [[4.027, 0.000, 0.000], [0.000, 4.027, 0.000], [0.000, 0.000, 9.706]], "species": ["Pa", "Pa", "Co", "Co", "Co", "Co", "Tc", "Ge", "Ge", "Ge"], "frac_coords": [[0.000, 0.500, 0.236], [0.500, 0.000, 0.764], [0.000, 0.000, 0.000], [0.000, 0.500, 0.631], [0.500, 0.000, 0.369], [0.500, 0.500, 0.000], [0.000, 0.000, 0.500], [0.000, 0.500, 0.872], [0.500, 0.000, 0.128], [0.500, 0.500, 0.500]]}

***

(4)
{"formula": "Th2PaCo4Ge3", "functional": "PBE-GGA", "state": "relaxed", "delta_e_f_kcal_per_mol_atoms": -13.2, "magmom_total_mub_per_cell": 1.41, "spacegroup": "P-4m2", "n_ef_per_ev_cell": 9.26, "lattice": [[4.257, 0.000, 0.000], [0.000, 4.257, 0.000], [0.000, 0.000, 9.865]], "species": ["Th", "Th", "Pa", "Co", "Co", "Co", "Co", "Ge", "Ge", "Ge"], "frac_coords": [[0.000, 0.500, 0.221], [0.500, 0.000, 0.779], [0.000, 0.000, 0.500], [0.000, 0.000, 0.000], [0.000, 0.500, 0.637], [0.500, 0.000, 0.363], [0.500, 0.500, 0.000], [0.000, 0.500, 0.877], [0.500, 0.000, 0.123], [0.500, 0.500, 0.500]]}

***

(5)
{"formula": "ThPaCo5Ge2", "functional": "PBE-GGA", "state": "relaxed", "delta_e_f_kcal_per_mol_atoms": -6.9, "magmom_total_mub_per_cell": 0.23, "spacegroup": "P4/mmm", "n_ef_per_ev_cell": 7.03, "lattice": [[4.058, 0.000, 0.000], [0.000, 4.058, 0.000], [0.000, 0.000, 8.444]], "species": ["Th", "Pa", "Co", "Co", "Co", "Co", "Co", "Ge", "Ge"], "frac_coords": [[0.000, 0.000, 0.000], [0.000, 0.000, 0.500], [0.000, 0.500, 0.228], [0.000, 0.500, 0.772], [0.500, 0.000, 0.228], [0.500, 0.000, 0.772], [0.500, 0.500, 0.000], [0.500, 0.500, 0.351], [0.500, 0.500, 0.649]]}

***

(6)
{"formula": "UPa2Co4Ge3", "functional": "PBE-GGA", "state": "relaxed", "delta_e_f_kcal_per_mol_atoms": -10.0, "magmom_total_mub_per_cell": 2.01, "spacegroup": "P-4m2", "n_ef_per_ev_cell": 13.40, "lattice": [[4.144, 0.000, 0.000], [0.000, 4.144, 0.000], [0.000, 0.000, 9.738]], "species": ["U", "Pa", "Pa", "Co", "Co", "Co", "Co", "Ge", "Ge", "Ge"], "frac_coords": [[0.000, 0.000, 0.000], [0.000, 0.500, 0.728], [0.500, 0.000, 0.272], [0.000, 0.000, 0.500], [0.000, 0.500, 0.140], [0.500, 0.000, 0.860], [0.500, 0.500, 0.500], [0.000, 0.500, 0.377], [0.500, 0.000, 0.623], [0.500, 0.500, 0.000]]}

***

(7)
{"formula": "PaZnCoGe", "functional": "PBE-GGA", "state": "relaxed", "delta_e_f_kcal_per_mol_atoms": -3.1, "magmom_total_mub_per_cell": 0.00, "spacegroup": "Cm", "n_ef_per_ev_cell": 3.42, "lattice": [[3.330, -2.057, 0.000], [3.330, 2.057, 0.000], [-2.383, 0.000, 5.662]], "species": ["Pa", "Zn", "Co", "Ge"], "frac_coords": [[0.000, 0.000, 0.000], [0.533, 0.533, 0.641], [0.379, 0.379, 0.216], [0.793, 0.793, 0.387]]}

***

(8)
{"formula": "Pa2ZnCo3Ge4", "functional": "PBE-GGA", "state": "relaxed", "delta_e_f_kcal_per_mol_atoms": -10.9, "magmom_total_mub_per_cell": 0.32, "spacegroup": "P-4m2", "n_ef_per_ev_cell": 7.17, "lattice": [[4.051, 0.000, 0.000], [0.000, 4.051, 0.000], [0.000, 0.000, 9.901]], "species": ["Pa", "Pa", "Zn", "Co", "Co", "Co", "Ge", "Ge", "Ge", "Ge"], "frac_coords": [[0.000, 0.500, 0.241], [0.500, 0.000, 0.759], [0.000, 0.000, 0.500], [0.000, 0.500, 0.873], [0.500, 0.000, 0.127], [0.500, 0.500, 0.500], [0.000, 0.000, 0.000], [0.000, 0.500, 0.641], [0.500, 0.000, 0.359], [0.500, 0.500, 0.000]]}

***

(9)
{"formula": "PaZnCo5Ge2", "functional": "PBE-GGA", "state": "relaxed", "delta_e_f_kcal_per_mol_atoms": -1.6, "magmom_total_mub_per_cell": 0.71, "spacegroup": "P4/mmm", "n_ef_per_ev_cell": 5.98, "lattice": [[3.858, 0.000, 0.000], [0.000, 3.858, 0.000], [0.000, 0.000, 8.668]], "species": ["Pa", "Zn", "Co", "Co", "Co", "Co", "Co", "Ge", "Ge"], "frac_coords": [[0.000, 0.000, 0.000], [0.000, 0.000, 0.500], [0.000, 0.500, 0.215], [0.000, 0.500, 0.785], [0.500, 0.000, 0.215], [0.500, 0.000, 0.785], [0.500, 0.500, 0.000], [0.500, 0.500, 0.360], [0.500, 0.500, 0.640]]}

***

(10)
{"formula": "Co2GePb", "functional": "PBE-GGA", "state": "relaxed", "delta_e_f_kcal_per_mol_atoms": 10.5, "e_above_lowest_polymorph_mev_per_atom": 63, "magmom_total_mub_per_cell": 5.12, "spacegroup": "I-42d", "n_ef_per_ev_cell": 7.30, "lattice": [[-2.174, 2.174, 8.136], [2.174, -2.174, 8.136], [2.174, 2.174, -8.136]], "species": ["Co", "Co", "Co", "Co", "Ge", "Ge", "Pb", "Pb"], "frac_coords": [[0.375, 0.223, 0.348], [0.777, 0.125, 0.152], [0.875, 0.027, 0.652], [0.973, 0.625, 0.848], [0.000, 0.000, 0.000], [0.750, 0.250, 0.500], [0.250, 0.750, 0.500], [0.500, 0.500, 0.000]]}

***

(11)
{"formula": "Co3GePb", "functional": "PBE-GGA", "state": "relaxed", "delta_e_f_kcal_per_mol_atoms": 15.1, "e_above_lowest_polymorph_mev_per_atom": 0, "magmom_total_mub_per_cell": 3.62, "spacegroup": "Pm-3m", "n_ef_per_ev_cell": 4.51, "lattice": [[4.423, 0.000, 0.000], [0.000, 4.423, 0.000], [0.000, 0.000, 4.423]], "species": ["Co", "Co", "Co", "Ge", "Pb"], "frac_coords": [[0.000, 0.000, 0.500], [0.000, 0.500, 0.000], [0.500, 0.000, 0.000], [0.000, 0.000, 0.000], [0.500, 0.500, 0.500]]}

***

(12)
{"formula": "Co2GePb2", "functional": "PBE-GGA", "state": "relaxed", "delta_e_f_kcal_per_mol_atoms": 8.7, "magmom_total_mub_per_cell": 4.31, "spacegroup": "P4/mbm", "n_ef_per_ev_cell": 10.02, "lattice": [[6.530, 0.000, 0.000], [0.000, 6.530, 0.000], [0.000, 0.000, 4.416]], "species": ["Co", "Co", "Co", "Co", "Ge", "Ge", "Pb", "Pb", "Pb", "Pb"], "frac_coords": [[0.139, 0.361, 0.000], [0.361, 0.861, 0.000], [0.639, 0.139, 0.000], [0.861, 0.639, 0.000], [0.000, 0.000, 0.000], [0.500, 0.500, 0.000], [0.171, 0.671, 0.500], [0.329, 0.171, 0.500], [0.671, 0.829, 0.500], [0.829, 0.329, 0.500]]}